A relaxed Hf2ZrFe2As4Pd2 crystal, computed with PBE-GGA.

Results
The space-group type is Pm, No. 6. For the density, the calculation gives 9.4 Mg/m³. The calculation puts the total energy at -7.430 eV/atom.

a b c (Å): 6.540 3.868 7.512
angles (deg): 90.00 90.02 90.00
Site moments in Bohr magnetons follow the coordinates.
Fractional positions:
As (0.753, 0.500, 0.090)  -0.01
As (0.247, 0.500, 0.358)  0.00
As (0.756, 0.000, 0.660)  0.01
As (0.244, 0.000, 0.886)  0.00
Fe (0.378, 0.500, 0.051)  1.91
Fe (0.610, 0.000, 0.956)  1.59
Hf (0.027, 0.000, 0.179)  0.01
Hf (0.463, 0.500, 0.690)  -0.05
Pd (0.842, 0.500, 0.441)  0.02
Pd (0.144, 0.000, 0.567)  0.01
Zr (0.538, 0.000, 0.319)  -0.06

---

A relaxed HfFeReAs crystal, computed with PBE-GGA.

Results
The space-group type is F-43m, No. 216. For the density, the calculation gives 13.9 Mg/m³. The value obtained for the energy relative to the lowest polymorph listed for this composition is 0 meV/atom.

a b c (Å): 4.379 4.379 4.379
angles (deg): 60.00 60.00 60.00
Fractional positions:
As (0.000, 0.000, 0.000)
Fe (0.750, 0.750, 0.750)
Hf (0.500, 0.500, 0.500)
Re (0.250, 0.250, 0.250)

---

A relaxed HfFeReAs crystal, computed with PBE-GGA.

Results
The space-group type is F-43m, No. 216. For the density, the calculation gives 12.8 Mg/m³. The value obtained for the energy relative to the lowest polymorph listed for this composition is 277 meV/atom.

a b c (Å): 4.500 4.500 4.500
angles (deg): 60.00 60.00 60.00
Fractional positions:
As (0.000, 0.000, 0.000)
Fe (0.750, 0.750, 0.750)
Hf (0.250, 0.250, 0.250)
Re (0.500, 0.500, 0.500)

---

A relaxed Hf3Sc3FeAs2 crystal, computed with PBE-GGA.

Results
The space-group type is P-62m, No. 189. For the density, the calculation gives 8.4 Mg/m³. The value obtained for the energy relative to the lowest polymorph listed for this composition is 0 meV/atom.

a b c (Å): 7.439 7.439 3.632
angles (deg): 90.00 90.00 120.00
Site moments in Bohr magnetons follow the coordinates.
Fractional positions:
As (0.667, 0.333, 0.500)  0.00
As (0.333, 0.667, 0.500)  0.00
Fe (0.000, 0.000, 0.000)  0.62
Hf (0.757, 0.000, 0.500)  0.09
Hf (0.243, 0.243, 0.500)  0.09
Hf (0.000, 0.757, 0.500)  0.09
Sc (0.406, 0.000, 0.000)  0.15
Sc (0.000, 0.406, 0.000)  0.12
Sc (0.594, 0.594, 0.000)  0.16